{"formula": "ThTcSn2", "functional": "PBE-GGA", "state": "relaxed", "lattice_angstrom": [[3.2274, 0.0000, 0.0000], [1.6137, 2.7950, 0.0000], [1.6137, 0.9317, 11.1374]], "species": ["Th", "Sn", "Tc", "Sn"], "frac_coords": [[0.5000, 0.5000, 0.5000], [0.0808, 0.0808, 0.7577], [0.0000, 0.0000, 0.0000], [0.9192, 0.9192, 0.2423]], "delta_e_f_ev_per_atom": 0.532, "total_energy_ev_per_atom": -5.916, "total_magnetization_mub_per_atom": 0.490}